SrScAl2: relaxed, PBE.

Results
DOS at the Fermi energy   0.891 states/eV/atom
Volume   226.2 Å³/cell
Size of the total moment   0.00 μB per cell
Excess energy over the best structure of this formula in the dataset   0.1499 eV/atom
DFT formation energy   -0.105 eV per atom

Unit cell a=9.285 b=4.392 c=6.078 alpha=90.00 beta=114.14 gamma=90.00
Space group C2/m (No. 12)
Unique sites:
1 Sr 0.000 0.000 0.000 x2
2 Sc 0.000 0.500 0.500 x2
3 Al 0.228 0.000 0.617 x4

SrScAl: relaxed, PBE.

Results
DOS at the Fermi energy   0.334 states/eV/atom
Volume   168.8 Å³/cell
Size of the total moment   0.00 μB per cell
Excess energy over the best structure of this formula in the dataset   0.1444 eV/atom
DFT formation energy   -0.028 eV per atom

Unit cell a=5.2045 b=5.2045 c=7.1974 alpha=90.00 beta=90.00 gamma=120.00
Space group P6_3/mmc (No. 194)
Unique sites:
1 Sr 0.0000 0.0000 0.0000 x2
2 Sc 0.3333 0.6667 0.2500 x2
3 Al 0.3333 0.6667 0.7500 x2

SrScAl: relaxed, PBE.

Results
DOS at the Fermi energy   0.566 states/eV/atom
Volume   182.8 Å³/cell
Size of the total moment   0.00 μB per cell
Excess energy over the best structure of this formula in the dataset   0.0061 eV/atom
DFT formation energy   -0.166 eV per atom

Unit cell a=4.857 b=4.873 c=7.723 alpha=90.00 beta=90.00 gamma=90.00
Space group Pmmn (No. 59, origin choice 2)
Unique sites:
1 Sr 0.250 0.250 0.151 x2
2 Sc 0.250 0.750 0.500 x2
3 Al 0.250 0.250 0.708 x2

Sr3ScAl: relaxed, PBE.

Results
DOS at the Fermi energy   1.801 states/eV/atom
Volume   238.4 Å³/cell
Size of the total moment   1.92 μB per cell
Excess energy over the best structure of this formula in the dataset   0.0000 eV/atom
DFT formation energy   0.472 eV per atom

Unit cell a=6.200 b=6.200 c=6.200 alpha=90.00 beta=90.00 gamma=90.00
Space group Pm-3m (No. 221)
Unique sites:
1 Sr 0.000 0.000 0.500 x3
2 Sc 0.500 0.500 0.500 x1
3 Al 0.000 0.000 0.000 x1

SrScAl: relaxed, PBE.

Results
DOS at the Fermi energy   0.743 states/eV/atom
Volume   386.9 Å³/cell
Size of the total moment   0.00 μB per cell
Excess energy over the best structure of this formula in the dataset   0.9716 eV/atom
DFT formation energy   0.799 eV per atom

Unit cell a=7.287 b=7.287 c=7.287 alpha=90.00 beta=90.00 gamma=90.00
Space group F-43m (No. 216)
Unique sites:
1 Sr 0.000 0.000 0.000 x4
2 Sc 0.250 0.250 0.250 x4
3 Al 0.250 0.250 0.750 x4

SrSc4Al: relaxed, PBE.

Results
DOS at the Fermi energy   1.013 states/eV/atom
Volume   647.3 Å³/cell
Size of the total moment   0.00 μB per cell
DFT formation energy   0.276 eV per atom

Unit cell a=8.651 b=8.651 c=8.651 alpha=90.00 beta=90.00 gamma=90.00
Space group F-43m (No. 216)
Unique sites:
1 Sr 0.000 0.000 0.000 x4
2 Sc 0.124 0.124 0.376 x16
3 Al 0.250 0.250 0.750 x4

SrScAl2: relaxed, PBE.

Results
DOS at the Fermi energy   0.923 states/eV/atom
Volume   100.2 Å³/cell
Size of the total moment   0.00 μB per cell
Excess energy over the best structure of this formula in the dataset   0.2233 eV/atom
DFT formation energy   -0.031 eV per atom

Unit cell a=3.411 b=3.411 c=8.611 alpha=90.00 beta=90.00 gamma=90.00
Space group P4mm (No. 99)
Unique sites:
1 Sr 0.000 0.000 0.000 x1
2 Sc 0.500 0.500 0.649 x1
3 Al 0.000 0.000 0.444 x1
4 Al 0.500 0.500 0.281 x1

Sr4ScAl: relaxed, PBE.

Results
DOS at the Fermi energy   1.417 states/eV/atom
Volume   983.9 Å³/cell
Size of the total moment   7.96 μB per cell
DFT formation energy   0.643 eV per atom

Unit cell a=9.946 b=9.946 c=9.946 alpha=90.00 beta=90.00 gamma=90.00
Space group F-43m (No. 216)
Unique sites:
1 Sr 0.125 0.125 0.125 x16
2 Sc 0.000 0.000 0.500 x4
3 Al 0.250 0.250 0.750 x4

We obtain total DFT energy (no corrections) values of -3.98, -3.95, -4.08, -2.55, -3.12, -4.85, -3.91, -2.16 eV per atom for the records listed above, in that order.